1.
{
  "formula": "GaPH",
  "functional": "PBE",
  "state": "relaxed",
  "relative_energy_mev_per_atom": 0.0,
  "space_group": "Imm2, No. 44",
  "total_energy_ry_per_atom": -0.3014,
  "lattice": [[-2.1997, 3.0911, -0.8705], [-7.1146, -5.3021, -0.8491], [-1.3251, 0.7916, 6.1596]],
  "species": ["Ga", "Ga", "Ga", "Ga", "P", "P", "P", "P", "H", "H", "H", "H"],
  "fractional_positions": [[0.0000, 0.1392, 0.9008], [0.0000, 0.8608, 0.9008], [0.5000, 0.6392, 0.4008], [0.5000, 0.3608, 0.4008], [0.0000, 0.7610, 0.2563], [0.0000, 0.2390, 0.2563], [0.5000, 0.2610, 0.7563], [0.5000, 0.7390, 0.7563], [0.0000, 0.8952, 0.3784], [0.0000, 0.1048, 0.3784], [0.5000, 0.3952, 0.8784], [0.5000, 0.6048, 0.8784]]
}

***

2.
{
  "formula": "GaPH",
  "functional": "PBE",
  "state": "relaxed",
  "relative_energy_mev_per_atom": 320.6,
  "space_group": "Pmm2, No. 25",
  "total_energy_ry_per_atom": -0.2778,
  "lattice": [[4.1935, 0.0000, 0.0000], [0.0000, 2.5512, 0.0000], [0.0000, 0.0000, 4.6034]],
  "species": ["Ga", "P", "H"],
  "fractional_positions": [[0.5000, 0.0000, 0.3671], [0.0000, 0.0000, 0.0653], [0.0000, 0.0000, 0.7520]]
}

***

3.
{
  "formula": "GaP2HPt",
  "functional": "PBE",
  "state": "relaxed",
  "relative_energy_mev_per_atom": 60.6,
  "space_group": "Cm, No. 8",
  "total_energy_ry_per_atom": -0.3571,
  "lattice": [[6.7585, 0.0000, 0.0226], [0.0000, 3.7644, 0.0000], [-3.4608, 0.0000, 6.4847]],
  "species": ["Ga", "Ga", "P", "P", "P", "P", "H", "H", "Pt", "Pt"],
  "fractional_positions": [[0.6764, 0.0000, 0.2360], [0.6764, 0.5000, 0.7360], [0.8152, 0.0000, 0.9940], [0.8152, 0.5000, 0.4940], [0.3061, 0.0000, 0.1984], [0.3061, 0.5000, 0.6984], [0.3854, 0.0000, 0.4164], [0.3854, 0.5000, 0.9164], [0.0726, 0.0000, 0.5857], [0.0726, 0.5000, 0.0857]]
}

***

4.
{
  "formula": "GaP2HPt",
  "functional": "PBE",
  "state": "relaxed",
  "relative_energy_mev_per_atom": 0.0,
  "space_group": "Pm, No. 6",
  "total_energy_ry_per_atom": -0.3616,
  "lattice": [[-3.5243, -0.6168, 2.7677], [-0.3966, -3.5076, -1.2868], [4.3121, -1.2746, 2.1453]],
  "species": ["Ga", "P", "P", "H", "Pt"],
  "fractional_positions": [[0.2552, 0.0000, 0.6000], [0.4155, 0.5000, 0.2903], [0.9071, 0.5000, 0.0272], [0.9001, 0.5000, 0.7360], [0.6611, 0.0000, 0.1372]]
}

***

5.
{
  "formula": "GaP2HPt",
  "functional": "PBE",
  "state": "relaxed",
  "relative_energy_mev_per_atom": 67.4,
  "space_group": "Cm, No. 8",
  "total_energy_ry_per_atom": -0.3566,
  "lattice": [[4.0513, 0.0000, -0.0015], [0.0000, 4.4768, 0.0000], [-1.0258, 0.0000, 8.3260]],
  "species": ["Ga", "Ga", "P", "P", "P", "P", "H", "H", "Pt", "Pt"],
  "fractional_positions": [[0.1753, 0.0000, 0.2198], [0.1753, 0.5000, 0.7198], [0.3685, 0.0000, 0.6163], [0.3685, 0.5000, 0.1163], [0.6285, 0.0000, 0.8705], [0.6285, 0.5000, 0.3705], [0.3149, 0.0000, 0.9332], [0.3149, 0.5000, 0.4332], [0.7738, 0.0000, 0.4297], [0.7738, 0.5000, 0.9297]]
}

***

6.
{
  "formula": "GaP2HPt",
  "functional": "PBE",
  "state": "relaxed",
  "relative_energy_mev_per_atom": 38.2,
  "space_group": "P1, No. 1",
  "total_energy_ry_per_atom": -0.3587,
  "lattice": [[3.2477, 0.0079, 0.0009], [1.6142, 4.6378, 0.0004], [1.6132, 0.5905, 5.4789]],
  "species": ["Ga", "P", "P", "H", "Pt"],
  "fractional_positions": [[0.0392, 0.3792, 0.7970], [0.0640, 0.9822, 0.1446], [0.7135, 0.6651, 0.1623], [0.8178, 0.9668, 0.6496], [0.7560, 0.2677, 0.4731]]
}

***

Which formula does entry 4 have?
GaP2HPt